1.
BaNdReN4: optimized geometry, PBE-GGA.

Values from the calculation:
- DFT total energy: -8.34 eV per atom
- Calculated volume: 264.5 Å³/cell
- Formation energy from raw total energies: -0.8489 eV/atom

a = 6.129 Å, b = 6.002 Å, c = 7.504 Å
α = 90.00°, β = 106.62°, γ = 90.00°
Space group P2_1/m (No. 11)
One atom of each set of equivalent atoms:
Ba (0.215, 0.250, 0.426) x2
Nd (0.291, 0.250, 0.952) x2
Re (0.250, 0.750, 0.172) x2
N (0.063, 0.750, 0.326) x2
N (0.064, 0.750, 0.937) x2
N (0.445, 0.509, 0.207) x4

***

2.
Ba2NdReN4: optimized geometry, PBE-GGA.

Values from the calculation:
- DFT total energy: -7.43 eV per atom
- Calculated volume: 308.9 Å³/cell
- Formation energy from raw total energies: -0.6360 eV/atom

a = 6.279 Å, b = 6.279 Å, c = 7.835 Å
α = 90.00°, β = 90.00°, γ = 90.00°
Space group I-4 (No. 82)
One atom of each set of equivalent atoms:
Ba (0.000, 0.000, 0.000) x2
Ba (0.000, 0.500, 0.250) x2
Nd (0.000, 0.000, 0.500) x2
Re (0.000, 0.500, 0.750) x2
N (0.170, 0.267, 0.667) x8

***

3.
Ba2NdRe2N6: optimized geometry, PBE-GGA.

Values from the calculation:
- DFT total energy: -8.31 eV per atom
- Calculated volume: 422.9 Å³/cell
- Formation energy from raw total energies: -0.7219 eV/atom

a = 10.983 Å, b = 6.258 Å, c = 7.390 Å
α = 90.00°, β = 123.64°, γ = 90.00°
Space group C2/m (No. 12)
One atom of each set of equivalent atoms:
Ba (0.214, 0.000, 0.189) x4
Nd (0.000, 0.000, 0.500) x2
Re (0.035, 0.500, 0.199) x4
N (0.052, 0.263, 0.780) x8
N (0.232, 0.500, 0.362) x4

***

4.
BaNd2RuN4: optimized geometry, PBE-GGA.

Values from the calculation:
- DFT total energy: -7.49 eV per atom
- Calculated volume: 563.7 Å³/cell
- Formation energy from raw total energies: -0.7394 eV/atom

a = 3.613 Å, b = 12.585 Å, c = 12.398 Å
α = 90.00°, β = 90.00°, γ = 90.00°
Space group Cmcm (No. 63)
One atom of each set of equivalent atoms:
Ba (0.000, 0.076, 0.250) x4
Nd (0.000, 0.369, 0.042) x8
Ru (0.000, 0.186, 0.750) x4
N (0.000, 0.000, 0.000) x4
N (0.000, 0.257, 0.616) x8
N (0.000, 0.392, 0.250) x4

***

5.
BaNdSiN3: optimized geometry, PBE-GGA.

Values from the calculation:
- DFT total energy: -6.94 eV per atom
- Calculated volume: 381.9 Å³/cell
- Formation energy from raw total energies: -0.7588 eV/atom

a = 12.999 Å, b = 3.900 Å, c = 7.873 Å
α = 90.00°, β = 106.90°, γ = 90.00°
Space group C2/m (No. 12)
One atom of each set of equivalent atoms:
Ba (0.144, 0.000, 0.072) x4
Nd (0.150, 0.000, 0.574) x4
Si (0.003, 0.500, 0.281) x4
N (0.004, 0.000, 0.293) x4
N (0.140, 0.500, 0.791) x4
N (0.148, 0.500, 0.348) x4

***

6.
BaNd2TaN4: optimized geometry, PBE-GGA.

Values from the calculation:
- DFT total energy: -8.23 eV per atom
- Calculated volume: 583.1 Å³/cell
- Formation energy from raw total energies: -1.1539 eV/atom

a = 3.589 Å, b = 12.967 Å, c = 12.528 Å
α = 90.00°, β = 90.00°, γ = 90.00°
Space group Cmcm (No. 63)
One atom of each set of equivalent atoms:
Ba (0.000, 0.089, 0.250) x4
Nd (0.000, 0.371, 0.034) x8
Ta (0.000, 0.175, 0.750) x4
N (0.000, 0.000, 0.000) x4
N (0.000, 0.259, 0.624) x8
N (0.000, 0.404, 0.250) x4

***

7.
Ba2NdTaN4: optimized geometry, PBE-GGA.

Values from the calculation:
- DFT total energy: -7.46 eV per atom
- Calculated volume: 549.2 Å³/cell
- Formation energy from raw total energies: -0.7427 eV/atom

a = 7.083 Å, b = 7.444 Å, c = 10.417 Å
α = 90.00°, β = 90.00°, γ = 90.00°
Space group Imma (No. 74)
One atom of each set of equivalent atoms:
Ba (0.000, 0.000, 0.000) x4
Ba (0.250, 0.250, 0.250) x4
Nd (0.000, 0.000, 0.500) x4
Ta (0.250, 0.250, 0.750) x4
N (0.000, 0.054, 0.744) x8
N (0.230, 0.250, 0.546) x8

***

8.
BaNdTcN3: optimized geometry, PBE-GGA.

Values from the calculation:
- DFT total energy: -7.69 eV per atom
- Calculated volume: 238.7 Å³/cell
- Formation energy from raw total energies: -0.6864 eV/atom

a = 6.2806 Å, b = 6.2806 Å, c = 6.9888 Å
α = 90.00°, β = 90.00°, γ = 120.00°
Space group P6_3/mmc (No. 194)
One atom of each set of equivalent atoms:
Ba (0.3333, 0.6667, 0.2500) x2
Nd (0.0000, 0.0000, 0.0000) x2
Tc (0.3333, 0.6667, 0.7500) x2
N (0.1642, 0.3284, 0.7500) x6

***

9.
BaNdThN3: optimized geometry, PBE-GGA.

Values from the calculation:
- DFT total energy: -7.57 eV per atom
- Calculated volume: 285.1 Å³/cell
- Formation energy from raw total energies: -1.0563 eV/atom

a = 7.543 Å, b = 3.709 Å, c = 10.191 Å
α = 90.00°, β = 90.64°, γ = 90.00°
Space group P2_1/m (No. 11)
One atom of each set of equivalent atoms:
Ba (0.134, 0.250, 0.200) x2
Nd (0.171, 0.250, 0.568) x2
Th (0.376, 0.750, 0.876) x2
N (0.136, 0.750, 0.429) x2
N (0.189, 0.250, 0.814) x2
N (0.402, 0.750, 0.097) x2

***

10.
BaNd2UN4: optimized geometry, PBE-GGA.

Values from the calculation:
- DFT total energy: -8.08 eV per atom
- Calculated volume: 563.5 Å³/cell
- Formation energy from raw total energies: -1.0761 eV/atom

a = 7.242 Å, b = 7.362 Å, c = 10.569 Å
α = 90.00°, β = 90.00°, γ = 90.00°
Space group Imma (No. 74)
One atom of each set of equivalent atoms:
Ba (0.250, 0.250, 0.250) x4
Nd (0.000, 0.000, 0.000) x4
Nd (0.250, 0.250, 0.750) x4
U (0.000, 0.000, 0.500) x4
N (0.000, 0.022, 0.699) x8
N (0.229, 0.250, 0.511) x8

***

| no. | DOS at the Fermi energy (states/eV/atom) |
| --- | --- |
| 1 | 0.000 |
| 2 | 0.375 |
| 3 | 0.320 |
| 4 | 0.420 |
| 5 | 0.371 |
| 6 | 0.287 |
| 7 | 0.243 |
| 8 | 0.534 |
| 9 | 0.136 |
| 10 | 0.650 |